A plane-wave DFT calculation with PBE-GGA was carried out for a geometry-optimized HgBi3Rh4 structure.

```
HgBi3Rh4
1.0
-4.066 -4.335 -2.236
5.268 -0.540 3.506
-4.276 2.697 3.843
Bi Rh Hg
3 4 1
Direct
0.446 0.762 0.208
0.114 0.000 0.114
0.446 0.238 0.685
0.038 0.237 0.800
0.563 0.763 0.800
0.757 0.312 0.069
0.757 0.688 0.445
0.030 0.500 0.530
```

## Properties
- size of the total moment (μB/cell) = 0.0
- calculated volume (Å³/f.u.) = 173
- ΔE_f (eV per atom) = 0.160
- DFT total energy (eV per cell) = -40.07